Material: PaFeSiRu
Method: DFT, PBE
State: relaxed

Values from the calculation:
**Spin magnetization**: 1.073 μB per formula unit
**ΔE_f (raw)**: -0.26 eV/atom
**E_tot**: -8.429 eV/atom
**Space-group type**: F-43m, No. 216

```
PaFeSiRu
1.0
0.0000 3.1866 3.1866
3.1866 0.0000 3.1866
3.1866 3.1866 0.0000
Pa Fe Si Ru
1 1 1 1
direct
0.0000 0.0000 0.0000
0.2500 0.2500 0.2500
0.5000 0.5000 0.5000
0.7500 0.7500 0.7500
```